Pr5PuS8 PBE relaxed; SG = I-4 (82); energy = -99.12 eV for the cell shown
1.0
-4.5366 3.0834 -5.0579
-3.2608 -6.0624 2.8784
1.3757 4.8967 5.4589
S Pr Pu
8 5 1
direct
0.1239 0.7504 0.5256
0.9748 0.1039 0.7241
0.2759 0.2507 0.3797
0.6264 0.4016 0.8761
0.4744 0.5984 0.2248
0.7752 0.2496 0.3736
0.1290 0.7493 0.0252
0.6203 0.8961 0.8710
0.0040 0.3764 0.1292
0.7529 0.6236 0.6276
0.5000 0.0000 0.5000
0.8708 0.8748 0.2471
0.3724 0.1252 0.9960
0.2500 0.5000 0.7500

***

YRe2F PBE relaxed; SG = I-42d (122); energy = -60.55 eV for the cell shown
1.0
-1.1367 -0.6744 -4.6523
-0.1840 -4.7763 0.7373
-7.6520 -2.2040 -0.3247
F Re Y
2 4 2
direct
0.5000 0.5000 0.0000
0.2500 0.7500 0.5000
0.3936 0.1250 0.2500
0.8750 0.6436 0.7500
0.3750 0.6064 0.7500
0.3564 0.6250 0.2500
0.7500 0.2500 0.5000
0.0000 0.0000 0.0000

***

K3Os PBE relaxed; SG = P4/mmm (123); calculated formation energy = 1.2424 eV per atom
1.0
3.3424 -0.0166 0.0000
0.0135 3.3424 0.0000
0.0000 0.0000 13.2274
K Os
3 1
direct
0.0000 0.0000 0.0716
0.0000 0.0000 0.4284
0.5000 0.5000 0.7500
0.5000 0.5000 0.2500

***

CsZnO PBE relaxed; SG = Pnma (62); energy = -37.95 eV for the cell shown
1.0
3.5945 0.0000 0.0000
0.0000 8.2050 0.0000
0.0000 0.0000 11.1953
Cs O Zn
4 4 4
direct
0.7500 0.9404 0.2076
0.2500 0.0596 0.7924
0.2500 0.4404 0.2924
0.7500 0.5596 0.7076
0.7500 0.9217 0.5941
0.2500 0.4217 0.9059
0.7500 0.5783 0.0941
0.2500 0.0783 0.4059
0.2500 0.6329 0.0061
0.2500 0.8671 0.5061
0.7500 0.3671 0.9939
0.7500 0.1329 0.4939